Material: CaCuAsSe3
Method: DFT, PBE-GGA
State: optimized geometry

```
data_CaCuAsSe3
_chemical_formula_sum 'Ca2 Cu2 As2 Se6'
_symmetry_space_group_name_H-M 'P 1 21/m 1'
_symmetry_Int_Tables_number 11
_cell_length_a 8.2042
_cell_length_b 3.9430
_cell_length_c 8.6694
_cell_angle_alpha 90.00
_cell_angle_beta 101.80
_cell_angle_gamma 90.00
loop_
_symmetry_equiv_pos_as_xyz
'x,y,z'
'-x,-y,-z'
'-x,y+1/2,-z'
'x,-y+1/2,z'
loop_
_atom_site_label
_atom_site_type_symbol
_atom_site_fract_x
_atom_site_fract_y
_atom_site_fract_z
Ca1 Ca 0.1798 0.2500 0.2552
Cu1 Cu 0.0724 0.2500 0.5828
As1 As 0.3335 0.7500 0.8580
Se1 Se 0.1150 0.2500 0.8806
Se2 Se 0.2372 0.7500 0.5163
Se3 Se 0.4320 0.7500 0.1595
```

Output
calculated density = 5.0 Mg/m³
formation energy from raw total energies = -0.688 eV/atom